Record 1
This record from Alexandria describes a relaxed structure of KNiMo2. The functional is GGA-PBE.

Lattice parameters (Å, degrees): 3.7175 2.6485 8.4246 90.38 90.00 90.00
Closest atoms and distances in Å follow each position.
Sites, in units of the cell vectors:
Mo1 0.0000 0.7476 0.1018  3 Mo 2.50-2.65, 4 Ni 2.60
K1 0.5000 0.7500 0.7500  2 K 2.65
Mo2 0.0000 0.7524 0.3982  3 Mo 2.50-2.65, 4 Ni 2.60
Ni1 0.5000 0.2500 0.2500  8 Mo 2.60, 2 Ni 2.65

Calculated values
E: -6.329 eV/atom
E_form: 0.81 eV per atom


Record 2
This record from Alexandria describes a relaxed structure of Cs7Au5Br. The functional is GGA-PBE.

Lattice parameters (Å, degrees): 5.0803 9.1326 30.8782 90.02 90.00 106.15
Closest atoms and distances in Å follow each position.
Sites, in units of the cell vectors:
Cs1 0.1816 0.3631 0.1765  3 Au 3.52-3.63, 2 Br 3.84
Au1 0.7261 0.4522 0.9245  6 Cs 3.52-3.78
Cs2 0.4305 0.8611 0.2499  2 Au 3.57, 2 Br 3.64
Cs3 0.6376 0.2752 0.0360  6 Au 3.67-3.98
Br1 0.2186 0.4372 0.7500  6 Cs 3.64-3.84
Cs4 0.9138 0.8276 0.1032  5 Au 3.53-3.70
Cs5 0.8192 0.6383 0.8235  3 Au 3.52-3.63, 2 Br 3.84
Br2 0.7819 0.5638 0.2502  6 Cs 3.64-3.84
Cs6 0.1811 0.3623 0.3235  3 Au 3.52-3.63, 2 Br 3.84
Au2 0.2743 0.5485 0.4246  6 Cs 3.52-3.78
Cs7 0.0871 0.1742 0.6033  5 Au 3.53-3.70
Au3 0.5396 0.0792 0.3475  6 Cs 3.57-3.98
Au4 0.4606 0.9212 0.8474  6 Cs 3.57-3.98
Cs8 0.3631 0.7261 0.9639  6 Au 3.67-3.98
Cs9 0.6374 0.2749 0.4640  6 Au 3.67-3.98
Au5 0.4608 0.9216 0.6525  6 Cs 3.57-3.98
Cs10 0.5700 0.1400 0.7500  2 Au 3.57, 2 Br 3.64
Au6 0.0002 0.0005 0.5000  6 Cs 3.53-3.67
Au7 0.0003 0.0007 0.9999  6 Cs 3.53-3.67
Cs11 0.9133 0.8267 0.3967  5 Au 3.53-3.70
Cs12 0.3631 0.7262 0.5361  6 Au 3.67-3.98
Au8 0.2745 0.5490 0.0754  6 Cs 3.52-3.78
Cs13 0.0870 0.1739 0.8966  5 Au 3.53-3.70
Au9 0.7263 0.4525 0.5756  6 Cs 3.52-3.78
Cs14 0.8194 0.6388 0.6766  3 Au 3.52-3.63, 2 Br 3.84
Au10 0.5400 0.0800 0.1525  6 Cs 3.57-3.98

Calculated values
E: -2.362 eV/atom
Uncorrected formation energy: -514 meV per atom


Record 3
This record from Alexandria describes a relaxed structure of ReTePdN2. The functional is GGA-PBE.

Lattice parameters (Å, degrees): 3.8601 3.8601 7.0610 90.00 90.00 90.00
Closest atoms and distances in Å follow each position.
Sites, in units of the cell vectors:
Pd1 0.0000 0.0000 0.0000  4 N 1.93
Te1 0.0000 0.0000 0.5000  4 Re 2.73
N1 0.0000 0.5000 0.0000  2 Pd 1.93
Re1 0.5000 0.5000 0.5000  4 Te 2.73
N2 0.5000 0.0000 0.0000  2 Pd 1.93

Calculated values
E: -5.403 eV/atom
Uncorrected formation energy: 2084 meV per atom


Record 4
This record from Alexandria describes a relaxed structure of Li6InSi2. The functional is GGA-PBE.

Lattice parameters (Å, degrees): 5.2138 5.2161 5.2161 95.79 95.79 95.79
Closest atoms and distances in Å follow each position.
Sites, in units of the cell vectors:
Li1 0.1704 0.8292 0.5000  5 Li 2.55-2.69, 2 Si 2.84
Li2 0.1704 0.5000 0.8292  5 Li 2.55-2.69, 2 Si 2.84
Li3 0.8296 0.5000 0.1708  5 Li 2.55-2.69, 2 Si 2.84
In1 0.0000 0.0000 0.0000  2 Si 2.79, 12 Li 2.92
Si1 0.6548 0.6547 0.6547  1 Si 2.50, 1 In 2.79
Li4 0.5000 0.8294 0.1706  5 Li 2.55-2.69, 2 Si 2.84
Li5 0.5000 0.1706 0.8294  5 Li 2.55-2.69, 2 Si 2.84
Si2 0.3452 0.3453 0.3453  1 Si 2.50, 1 In 2.79
Li6 0.8296 0.1708 0.5000  5 Li 2.55-2.69, 2 Si 2.84

Calculated values
E: -2.991 eV/atom
Uncorrected formation energy: -206 meV per atom


Record 5
This record from Alexandria describes a relaxed structure of LaTb6DyEr2. The functional is GGA-PBE.

Lattice parameters (Å, degrees): 9.4611 8.8156 8.8156 116.74 92.82 92.82
Closest atoms and distances in Å follow each position.
Sites, in units of the cell vectors:
Dy1 0.7500 0.5891 0.4109  6 Tb 3.43-3.50, 2 Er 3.52
La1 0.7500 0.0341 0.9659  4 Er 3.39-3.53, 6 Tb 3.56-3.74
Tb1 0.6807 0.0105 0.5555  3 Tb 3.22-3.57, 2 Er 3.43-3.54, 1 Dy 3.45, 1 La 3.56
Er1 0.9484 0.6948 0.7981  6 Tb 3.29-3.54, 2 La 3.39-3.53, 1 Dy 3.52
Tb2 0.1147 0.7077 0.4823  4 Tb 3.22-3.49, 3 Er 3.29-3.45, 2 Dy 3.43-3.50
Tb3 0.4424 0.2439 0.8807  7 Tb 3.42-3.78, 1 Er 3.52, 2 La 3.73-3.74
Tb4 0.3853 0.5177 0.2923  4 Tb 3.22-3.49, 3 Er 3.29-3.45, 2 Dy 3.43-3.50
Er2 0.0516 0.3052 0.2019  6 Tb 3.29-3.54, 2 La 3.39-3.53, 1 Dy 3.52
Tb5 0.3193 0.9895 0.4445  3 Tb 3.22-3.57, 2 Er 3.43-3.54, 1 Dy 3.45, 1 La 3.56
Er3 0.4484 0.7981 0.6948  6 Tb 3.29-3.54, 2 La 3.39-3.53, 1 Dy 3.52
La2 0.2500 0.9659 0.0341  4 Er 3.39-3.53, 6 Tb 3.56-3.74
Tb6 0.9424 0.8807 0.2439  7 Tb 3.42-3.78, 1 Er 3.52, 2 La 3.73-3.74
Er4 0.5516 0.2019 0.3052  6 Tb 3.29-3.54, 2 La 3.39-3.53, 1 Dy 3.52
Tb7 0.5576 0.7561 0.1193  7 Tb 3.42-3.78, 1 Er 3.52, 2 La 3.73-3.74
Dy2 0.2500 0.4109 0.5891  6 Tb 3.43-3.50, 2 Er 3.52
Tb8 0.1807 0.5555 0.0105  3 Tb 3.22-3.57, 2 Er 3.43-3.54, 1 Dy 3.45, 1 La 3.56
Tb9 0.0576 0.1193 0.7561  7 Tb 3.42-3.78, 1 Er 3.52, 2 La 3.73-3.74
Tb10 0.8853 0.2923 0.5177  4 Tb 3.22-3.49, 3 Er 3.29-3.45, 2 Dy 3.43-3.50
Tb11 0.6147 0.4823 0.7077  4 Tb 3.22-3.49, 3 Er 3.29-3.45, 2 Dy 3.43-3.50
Tb12 0.8193 0.4445 0.9895  3 Tb 3.22-3.57, 2 Er 3.43-3.54, 1 Dy 3.45, 1 La 3.56

Calculated values
E: -4.523 eV/atom
E_form: 0.12 eV per atom


Record 6
This record from Alexandria describes a relaxed structure of Ti4CdCo5. The functional is GGA-PBE.

Lattice parameters (Å, degrees): 2.9996 2.9996 15.0341 90.00 90.00 90.00
Closest atoms and distances in Å follow each position.
Sites, in units of the cell vectors:
Ti1 0.0000 0.0000 0.4024  8 Co 2.55-2.58
Co1 0.5000 0.5000 0.5000  8 Ti 2.58, 2 Co 2.88
Cd1 0.0000 0.0000 0.0000  8 Co 2.83, 4 Cd 3.00, 2 Ti 3.08
Co2 0.5000 0.5000 0.3084  8 Ti 2.55-2.63, 1 Co 2.77
Co3 0.5000 0.5000 0.8756  4 Ti 2.44
Ti2 0.0000 0.0000 0.2047  8 Co 2.44-2.63
Ti3 0.0000 0.0000 0.7953  8 Co 2.44-2.63
Co4 0.5000 0.5000 0.1244  4 Ti 2.44
Co5 0.5000 0.5000 0.6916  8 Ti 2.55-2.63, 1 Co 2.77
Ti4 0.0000 0.0000 0.5976  8 Co 2.55-2.58

Calculated values
E: -7.108 eV/atom
E_form: -0.31 eV per atom


Record 7
This record from Alexandria describes a relaxed structure of LaZn4Ni. The functional is GGA-PBE.

Lattice parameters (Å, degrees): 4.0552 6.8419 7.7916 90.00 90.00 90.00
Closest atoms and distances in Å follow each position.
Sites, in units of the cell vectors:
Zn1 0.5000 0.9571 0.7500  2 Ni 2.63, 8 Zn 2.69-2.90
Zn2 0.5000 0.2837 0.9431  2 Ni 2.58, 3 Zn 2.69-2.84
Zn3 0.0000 0.0000 0.5000  2 Ni 2.39
Ni1 0.0000 0.7973 0.2500  8 Zn 2.39-2.63
La1 0.0000 0.5991 0.7500  1 Ni 2.71
Ni2 0.0000 0.2027 0.7500  8 Zn 2.39-2.63
La2 0.0000 0.4009 0.2500  1 Ni 2.71
Zn4 0.5000 0.7163 0.4431  2 Ni 2.58, 3 Zn 2.69-2.84
Zn5 0.5000 0.7163 0.0569  2 Ni 2.58, 3 Zn 2.69-2.84
Zn6 0.0000 0.0000 0.0000  2 Ni 2.39
Zn7 0.5000 0.2837 0.5569  2 Ni 2.58, 3 Zn 2.69-2.84
Zn8 0.5000 0.0429 0.2500  2 Ni 2.63, 8 Zn 2.69-2.90

Calculated values
E: -2.936 eV/atom
E_form: -0.30 eV per atom


Record 8
This record from Alexandria describes a relaxed structure of Tb4InAu. The functional is GGA-PBE.

Lattice parameters (Å, degrees): 6.8311 7.5582 7.4596 90.00 94.63 90.00
Closest atoms and distances in Å follow each position.
Sites, in units of the cell vectors:
Au1 0.5000 0.0000 0.5000  6 Tb 2.79-2.98
Au2 0.0000 0.5000 0.5000  6 Tb 2.79-2.98
Tb1 0.3981 0.8521 0.1628  1 Au 2.79, 2 In 3.03-3.10
Tb2 0.1761 0.8307 0.6611  2 Au 2.90-2.98, 1 In 3.16
In1 0.5000 0.5000 0.0000  6 Tb 3.03-3.16
Tb3 0.1019 0.3521 0.8372  1 Au 2.79, 2 In 3.03-3.10
Tb4 0.6761 0.6693 0.6611  2 Au 2.90-2.98, 1 In 3.16
Tb5 0.8239 0.1693 0.3389  2 Au 2.90-2.98, 1 In 3.16
Tb6 0.6019 0.1479 0.8372  1 Au 2.79, 2 In 3.03-3.10
Tb7 0.3239 0.3307 0.3389  2 Au 2.90-2.98, 1 In 3.16
Tb8 0.8981 0.6479 0.1628  1 Au 2.79, 2 In 3.03-3.10
In2 0.0000 0.0000 0.0000  6 Tb 3.03-3.16

Calculated values
E: -4.309 eV/atom
E_form: -0.22 eV per atom


Record 9
This record from Alexandria describes a relaxed structure of RbZr2CF. The functional is GGA-PBE.

Lattice parameters (Å, degrees): 4.4170 5.3301 4.4170 90.00 90.00 90.00
Closest atoms and distances in Å follow each position.
Sites, in units of the cell vectors:
Rb1 0.5000 0.5000 0.5000  4 C 3.12, 8 Zr 3.46
Zr1 0.0000 0.0000 0.5000  2 F 2.21
F1 0.0000 0.0000 0.0000  4 Zr 2.21
C1 0.0000 0.5000 0.0000  2 F 2.67
Zr2 0.5000 0.0000 0.0000  2 F 2.21

Calculated values
E: -4.963 eV/atom
Uncorrected formation energy: 869 meV per atom


Record 10
This record from Alexandria describes a relaxed structure of Y2ReGeF. The functional is GGA-PBE.

Lattice parameters (Å, degrees): 5.4291 4.7242 5.4291 90.00 90.00 90.00
Closest atoms and distances in Å follow each position.
Sites, in units of the cell vectors:
Y1 0.0000 0.0000 0.5000  2 Re 2.71
Re1 0.0000 0.0000 0.0000  2 Ge 2.36
Ge1 0.0000 0.5000 0.0000  2 Re 2.36
F1 0.5000 0.5000 0.5000  8 Y 3.60, 4 Ge 3.84
Y2 0.5000 0.0000 0.0000  2 Re 2.71

Calculated values
E: -6.717 eV/atom
Uncorrected formation energy: -344 meV per atom


Record 11
This record from Alexandria describes a relaxed structure of DyIn3Ni8. The functional is GGA-PBE.

Lattice parameters (Å, degrees): 4.9496 4.9496 8.6236 73.32 73.32 60.00
Closest atoms and distances in Å follow each position.
Sites, in units of the cell vectors:
Ni1 0.1874 0.1874 0.4377  6 Ni 2.49-2.51
In1 0.4968 0.4968 0.5096  12 Ni 2.88-3.01, 1 In 3.00, 3 Dy 3.07
Ni2 0.9381 0.4341 0.6896  6 Ni 2.45-2.49
Dy1 0.8759 0.8759 0.3722  12 Ni 2.91-2.96, 4 In 3.07
In2 0.0016 0.0016 0.9953  12 Ni 2.86-2.91, 3 In 3.01, 1 Dy 3.07
In3 0.3739 0.3739 0.8782  12 Ni 2.87-2.91, 4 In 3.00-3.01
Ni3 0.4386 0.4386 0.1838  6 Ni 2.47-2.51
Ni4 0.6877 0.6877 0.9369  6 Ni 2.47
Ni5 0.4386 0.9390 0.1838  6 Ni 2.47-2.51
Ni6 0.4341 0.9381 0.6896  6 Ni 2.45-2.49
Ni7 0.9381 0.9381 0.6896  6 Ni 2.45-2.49
Ni8 0.9390 0.4386 0.1838  6 Ni 2.47-2.51

Calculated values
E: -5.135 eV/atom
E_form: -0.21 eV per atom


> Among the records above, which one has the lowest E?

Ti4CdCo5